[1]
## TcPtSe2N (PBE-GGA)

Data for TcPtSe2N after structural relaxation.

## Properties
Size of the total moment   3.6 μB/f.u.
Symmetry   P4/mmm, No. 123
Formation energy from raw total energies   1.009 eV per atom
Energy above the most stable polymorph in this dataset   0.4382 eV/atom
V   19.9 Å³/atom
Density   7.78 Mg/m³

```
TcPtSe2N
1.0
5.213 0.000 0.000
0.000 5.213 0.000
0.000 0.000 3.653
Tc Se N Pt
1 2 1 1
direct
0.500 0.500 0.500
0.500 0.000 0.000
0.000 0.500 0.000
0.000 0.000 0.500
0.000 0.000 0.000
```

=====

[2]
## TcPtSeN2 (PBE-GGA)

Data for TcPtSeN2 after structural relaxation.

## Properties
Size of the total moment   3.7 μB/f.u.
Symmetry   P4/mmm, No. 123
Formation energy from raw total energies   1.422 eV per atom
Energy above the most stable polymorph in this dataset   0.6675 eV/atom
V   22.6 Å³/atom
Density   5.87 Mg/m³

```
TcPtSeN2
1.0
3.723 0.000 0.000
0.000 3.723 0.000
0.000 0.000 8.161
Se N Tc Pt
1 2 1 1
direct
0.000 0.000 0.500
0.500 0.000 0.000
0.000 0.500 0.000
0.500 0.500 0.500
0.000 0.000 0.000
```

=====

[3]
## TiPtSe2N (PBE-GGA)

Data for TiPtSe2N after structural relaxation.

## Properties
Size of the total moment   0.0 μB/f.u.
Symmetry   P4/mmm, No. 123
Formation energy from raw total energies   0.478 eV per atom
Energy above the most stable polymorph in this dataset   0.2481 eV/atom
V   19.6 Å³/atom
Density   7.04 Mg/m³

```
TiPtSe2N
1.0
-3.416 -0.470 3.849
3.850 0.208 3.441
-0.331 3.645 0.151
Ti N Se Pt
1 1 2 1
direct
0.500 0.500 0.500
0.000 0.000 0.500
0.500 0.000 0.000
0.000 0.500 0.000
0.000 0.000 0.000
```

=====

[4]
## TiPtSe2N (PBE-GGA)

Data for TiPtSe2N after structural relaxation.

## Properties
Size of the total moment   0.0 μB/f.u.
Symmetry   P4/mmm, No. 123
Formation energy from raw total energies   0.230 eV per atom
Energy above the most stable polymorph in this dataset   0.0000 eV/atom
V   16.0 Å³/atom
Density   8.60 Mg/m³

```
TiPtSe2N
1.0
4.539 0.000 0.000
0.000 3.887 0.000
0.000 0.000 4.539
Se Pt N Ti
2 1 1 1
direct
0.500 0.000 0.000
0.000 0.000 0.500
0.500 0.500 0.500
0.000 0.000 0.000
0.000 0.500 0.000
```

=====

[5]
## TiPtSe2N (PBE-GGA)

Data for TiPtSe2N after structural relaxation.

## Properties
Size of the total moment   0.0 μB/f.u.
Symmetry   P4/mmm, No. 123
Formation energy from raw total energies   0.267 eV per atom
Energy above the most stable polymorph in this dataset   0.0376 eV/atom
V   18.6 Å³/atom
Density   7.43 Mg/m³

```
TiPtSe2N
1.0
-4.282 -0.111 2.682
-2.423 -2.013 -3.952
0.831 -3.331 1.188
Se Pt Ti N
2 1 1 1
direct
0.500 0.000 0.000
0.000 0.500 0.000
0.500 0.500 0.500
0.000 0.000 0.000
0.000 0.000 0.500
```

=====

[6]
## TiPtSeN2 (PBE-GGA)

Data for TiPtSeN2 after structural relaxation.

## Properties
Size of the total moment   1.6 μB/f.u.
Symmetry   P4/mmm, No. 123
Formation energy from raw total energies   0.856 eV per atom
Energy above the most stable polymorph in this dataset   0.2944 eV/atom
V   21.7 Å³/atom
Density   5.36 Mg/m³

```
TiPtSeN2
1.0
3.723 0.000 0.000
0.000 3.723 0.000
0.000 0.000 7.821
Pt Ti Se N
1 1 1 2
direct
0.000 0.000 0.000
0.500 0.500 0.500
0.000 0.000 0.500
0.500 0.000 0.000
0.000 0.500 0.000
```

=====

[7]
## TiPtSeN2 (PBE-GGA)

Data for TiPtSeN2 after structural relaxation.

## Properties
Size of the total moment   0.0 μB/f.u.
Symmetry   P4/mmm, No. 123
Formation energy from raw total energies   0.561 eV per atom
Energy above the most stable polymorph in this dataset   0.0000 eV/atom
V   16.0 Å³/atom
Density   7.25 Mg/m³

```
TiPtSeN2
1.0
3.810 0.000 0.000
0.000 3.810 0.000
0.000 0.000 5.518
N Se Pt Ti
2 1 1 1
direct
0.500 0.000 0.000
0.000 0.500 0.000
0.000 0.000 0.500
0.500 0.500 0.500
0.000 0.000 0.000
```

=====

[8]
## TlPtSe2N (PBE-GGA)

Data for TlPtSe2N after structural relaxation.

## Properties
Size of the total moment   0.0 μB/f.u.
Symmetry   P4/mmm, No. 123
Formation energy from raw total energies   1.739 eV per atom
Energy above the most stable polymorph in this dataset   1.3735 eV/atom
V   23.2 Å³/atom
Density   8.17 Mg/m³

```
TlPtSe2N
1.0
-3.885 -0.282 -3.740
3.748 -0.079 -3.887
0.109 -3.975 0.186
Se N Tl Pt
2 1 1 1
direct
0.500 0.000 0.000
0.000 0.500 0.000
0.000 0.000 0.500
0.000 0.000 0.000
0.500 0.500 0.500
```

=====

[9]
## TlPtSe2N (PBE-GGA)

Data for TlPtSe2N after structural relaxation.

## Properties
Size of the total moment   0.0 μB/f.u.
Symmetry   P4/mmm, No. 123
Formation energy from raw total energies   0.366 eV per atom
Energy above the most stable polymorph in this dataset   0.0000 eV/atom
V   21.7 Å³/atom
Density   8.75 Mg/m³

```
TlPtSe2N
1.0
-4.555 -2.829 -0.754
1.240 -3.126 4.244
-1.811 2.319 2.237
Se Pt Tl N
2 1 1 1
direct
0.000 0.500 0.000
0.500 0.000 0.000
0.000 0.000 0.000
0.500 0.500 0.500
0.000 0.000 0.500
```

=====

[10]
## U2PtSe2N2 (PBE-GGA)

Data for U2PtSe2N2 after structural relaxation.

## Properties
Size of the total moment   0.0 μB/f.u.
Symmetry   P-3m1, No. 164
Formation energy from raw total energies   -0.801 eV per atom
V   20.5 Å³/atom
Density   9.92 Mg/m³

```
U2PtSe2N2
1.0
-3.600 -0.660 0.917
2.233 -2.854 -1.052
3.125 -1.642 11.082
Se N U Pt
2 2 2 1
direct
0.000 0.000 0.660
0.000 0.000 0.340
0.333 0.667 0.155
0.667 0.333 0.845
0.333 0.667 0.816
0.667 0.333 0.184
0.000 0.000 0.000
```

=====

[11]
## VPtSe2N (PBE-GGA)

Data for VPtSe2N after structural relaxation.

## Properties
Size of the total moment   0.0 μB/f.u.
Symmetry   P4/mmm, No. 123
Formation energy from raw total energies   0.308 eV per atom
Energy above the most stable polymorph in this dataset   0.0000 eV/atom
V   17.2 Å³/atom
Density   8.07 Mg/m³

```
VPtSe2N
1.0
4.915 0.000 0.000
0.000 4.915 0.000
0.000 0.000 3.558
Se Pt V N
2 1 1 1
direct
0.000 0.500 0.000
0.500 0.000 0.000
0.500 0.500 0.500
0.000 0.000 0.000
0.000 0.000 0.500
```

=====

[12]
## VPtSe2N (PBE-GGA)

Data for VPtSe2N after structural relaxation.

## Properties
Size of the total moment   0.1 μB/f.u.
Symmetry   P4/mmm, No. 123
Formation energy from raw total energies   0.825 eV per atom
Energy above the most stable polymorph in this dataset   0.5170 eV/atom
V   19.5 Å³/atom
Density   7.13 Mg/m³

```
VPtSe2N
1.0
5.164 0.000 0.000
0.000 5.164 0.000
0.000 0.000 3.648
Se V Pt N
2 1 1 1
direct
0.000 0.500 0.000
0.500 0.000 0.000
0.500 0.500 0.500
0.000 0.000 0.000
0.000 0.000 0.500
```

=====

- Which value of formation energy from raw total energies does entry 11 give?
  0.308 eV per atom